# Tl2FeRu

A geometry-optimized Tl2FeRu structure (GGA-PBE, Alexandria).

a = 4.6972 Å, b = 4.6972 Å, c = 3.2627 Å
α = 90.00°, β = 90.00°, γ = 90.00°
Last column: nearest neighbours and their distance in Å.
Fractional coordinates of all 4 atoms:
Tl 0.0000 0.5000 0.0000  4 Fe 2.86, 4 Ru 2.86
Tl 0.5000 0.0000 0.0000  4 Fe 2.86, 4 Ru 2.86
Fe 0.0000 0.0000 0.5000  8 Tl 2.86
Ru 0.5000 0.5000 0.5000  8 Tl 2.86

Computed properties:
formation energy: 0.6677 eV per atom
ρ: 13.0 g/cm³
total magnetic moment: 2.21 μB/cell
SG: No. 123

# Tl2FeRu

A geometry-optimized Tl2FeRu structure (GGA-PBE, Alexandria).

a = 6.5206 Å, b = 6.5206 Å, c = 6.5206 Å
α = 90.00°, β = 90.00°, γ = 90.00°
Last column: nearest neighbours and their distance in Å.
Fractional coordinates of all 16 atoms:
Tl 0.2500 0.2500 0.2500  4 Fe 2.82, 4 Ru 2.82
Tl 0.2500 0.2500 0.7500  4 Fe 2.82, 4 Ru 2.82
Tl 0.2500 0.7500 0.2500  4 Fe 2.82, 4 Ru 2.82
Tl 0.2500 0.7500 0.7500  4 Ru 2.82, 4 Fe 2.82
Tl 0.7500 0.2500 0.2500  4 Fe 2.82, 4 Ru 2.82
Tl 0.7500 0.2500 0.7500  4 Ru 2.82, 4 Fe 2.82
Tl 0.7500 0.7500 0.2500  4 Ru 2.82, 4 Fe 2.82
Tl 0.7500 0.7500 0.7500  4 Fe 2.82, 4 Ru 2.82
Fe 0.0000 0.0000 0.0000  8 Tl 2.82
Fe 0.0000 0.5000 0.5000  8 Tl 2.82
Fe 0.5000 0.0000 0.5000  8 Tl 2.82
Fe 0.5000 0.5000 0.0000  8 Tl 2.82
Ru 0.0000 0.0000 0.5000  8 Tl 2.82
Ru 0.0000 0.5000 0.0000  8 Tl 2.82
Ru 0.5000 0.0000 0.0000  8 Tl 2.82
Ru 0.5000 0.5000 0.5000  8 Tl 2.82

Computed properties:
formation energy: 0.7934 eV per atom
ρ: 13.6 g/cm³
total magnetic moment: 0.00 μB/cell
SG: No. 225

# TmFe4Ru

A geometry-optimized TmFe4Ru structure (GGA-PBE, Alexandria).

a = 4.9362 Å, b = 4.9362 Å, c = 4.9362 Å
α = 60.00°, β = 60.00°, γ = 60.00°
Last column: nearest neighbours and their distance in Å.
Fractional coordinates of all 6 atoms:
Tm 0.0000 0.0000 0.0000  12 Fe 2.90, 4 Ru 3.02
Fe 0.3755 0.3755 0.3755  6 Fe 2.46-2.48
Fe 0.3755 0.3755 0.8736  6 Fe 2.46-2.48
Fe 0.3755 0.8736 0.3755  6 Fe 2.46-2.48
Fe 0.8736 0.3755 0.3755  6 Fe 2.46-2.48
Ru 0.7500 0.7500 0.7500  12 Fe 2.89, 4 Tm 3.02

Computed properties:
formation energy: -0.0219 eV per atom
ρ: 9.6 g/cm³
total magnetic moment: 10.44 μB/cell
SG: No. 216

# Tm6FeRu5

A geometry-optimized Tm6FeRu5 structure (GGA-PBE, Alexandria).

a = 4.7403 Å, b = 6.7609 Å, c = 7.5018 Å
α = 90.00°, β = 108.25°, γ = 90.00°
Last column: nearest neighbours and their distance in Å.
Fractional coordinates of all 12 atoms:
Tm 0.0000 0.2439 0.0000  6 Ru 2.88-2.90, 2 Fe 2.94
Tm 0.0000 0.7561 0.0000  6 Ru 2.88-2.90, 2 Fe 2.94
Tm 0.3307 0.2478 0.6621  7 Ru 2.88-2.95, 1 Fe 2.95
Tm 0.3307 0.7522 0.6621  7 Ru 2.88-2.95, 1 Fe 2.95
Tm 0.6693 0.2478 0.3379  7 Ru 2.88-2.95, 1 Fe 2.95
Tm 0.6693 0.7522 0.3379  7 Ru 2.88-2.95, 1 Fe 2.95
Fe 0.5000 0.5000 0.0000  8 Tm 2.94-2.95
Ru 0.1631 0.5000 0.3235  8 Tm 2.88-2.95
Ru 0.1673 0.0000 0.3340  8 Tm 2.88-2.90
Ru 0.5000 0.0000 0.0000  8 Tm 2.89-2.93
Ru 0.8327 0.0000 0.6660  8 Tm 2.88-2.90
Ru 0.8369 0.5000 0.6765  8 Tm 2.88-2.95

Computed properties:
formation energy: -0.3386 eV per atom
ρ: 11.5 g/cm³
total magnetic moment: 2.77 μB/cell
SG: No. 10

# Tm2Fe3Ru

A geometry-optimized Tm2Fe3Ru structure (GGA-PBE, Alexandria).

a = 5.1991 Å, b = 5.1991 Å, c = 5.1991 Å
α = 58.75°, β = 58.75°, γ = 58.75°
Last column: nearest neighbours and their distance in Å.
Fractional coordinates of all 6 atoms:
Tm 0.1245 0.1245 0.1245  3 Ru 2.99, 9 Fe 3.01-3.06, 4 Tm 3.14-3.20
Tm 0.8755 0.8755 0.8755  3 Ru 2.99, 9 Fe 3.01-3.06, 4 Tm 3.14-3.20
Fe 0.0000 0.5000 0.5000  4 Fe 2.55, 2 Ru 2.60
Fe 0.5000 0.0000 0.5000  4 Fe 2.55, 2 Ru 2.60
Fe 0.5000 0.5000 0.0000  4 Fe 2.55, 2 Ru 2.60
Ru 0.5000 0.5000 0.5000  6 Fe 2.60

Computed properties:
formation energy: -0.2276 eV per atom
ρ: 10.4 g/cm³
total magnetic moment: 5.65 μB/cell
SG: No. 166

# TmZrFeRu

A geometry-optimized TmZrFeRu structure (GGA-PBE, Alexandria).

a = 6.5430 Å, b = 6.5430 Å, c = 6.5430 Å
α = 90.00°, β = 90.00°, γ = 90.00°
Last column: nearest neighbours and their distance in Å.
Fractional coordinates of all 16 atoms:
Tm 0.0000 0.0000 0.0000  4 Fe 2.83, 4 Ru 2.83
Tm 0.0000 0.5000 0.5000  4 Fe 2.83, 4 Ru 2.83
Tm 0.5000 0.0000 0.5000  4 Fe 2.83, 4 Ru 2.83
Tm 0.5000 0.5000 0.0000  4 Fe 2.83, 4 Ru 2.83
Zr 0.0000 0.0000 0.5000  4 Fe 2.83, 4 Ru 2.83
Zr 0.0000 0.5000 0.0000  4 Fe 2.83, 4 Ru 2.83
Zr 0.5000 0.0000 0.0000  4 Fe 2.83, 4 Ru 2.83
Zr 0.5000 0.5000 0.5000  4 Fe 2.83, 4 Ru 2.83
Fe 0.2500 0.2500 0.2500  4 Zr 2.83, 4 Tm 2.83
Fe 0.2500 0.7500 0.7500  4 Zr 2.83, 4 Tm 2.83
Fe 0.7500 0.2500 0.7500  4 Zr 2.83, 4 Tm 2.83
Fe 0.7500 0.7500 0.2500  4 Zr 2.83, 4 Tm 2.83
Ru 0.2500 0.2500 0.7500  4 Zr 2.83, 4 Tm 2.83
Ru 0.2500 0.7500 0.2500  4 Zr 2.83, 4 Tm 2.83
Ru 0.7500 0.2500 0.2500  4 Zr 2.83, 4 Tm 2.83
Ru 0.7500 0.7500 0.7500  4 Zr 2.83, 4 Tm 2.83

Computed properties:
formation energy: -0.2785 eV per atom
ρ: 9.9 g/cm³
total magnetic moment: 1.05 μB/cell
SG: No. 216

# UFeRu

A geometry-optimized UFeRu structure (GGA-PBE, Alexandria).

a = 5.7890 Å, b = 5.4263 Å, c = 7.8531 Å
α = 90.00°, β = 123.68°, γ = 90.00°
Last column: nearest neighbours and their distance in Å.
Fractional coordinates of all 12 atoms:
U 0.1216 0.2210 0.4175  1 Fe 2.11
U 0.1216 0.2790 0.9175  1 Fe 2.11
U 0.8784 0.7210 0.0825  1 Fe 2.11
U 0.8784 0.7790 0.5825  1 Fe 2.11
Fe 0.4256 0.0442 0.6921  1 U 2.11
Fe 0.4256 0.4558 0.1921  1 U 2.11
Fe 0.5744 0.5442 0.8079  1 U 2.11
Fe 0.5744 0.9558 0.3079  1 U 2.11
Ru 0.2825 0.6934 0.4181  1 U 2.37, 1 Fe 2.64
Ru 0.2825 0.8066 0.9181  1 U 2.37, 1 Fe 2.64
Ru 0.7175 0.1934 0.0819  1 U 2.37, 1 Fe 2.64
Ru 0.7175 0.3066 0.5819  1 U 2.37, 1 Fe 2.64

Computed properties:
formation energy: -0.1804 eV per atom
ρ: 12.8 g/cm³
total magnetic moment: 0.01 μB/cell
SG: No. 14

# UFeRu2

A geometry-optimized UFeRu2 structure (GGA-PBE, Alexandria).

a = 3.9937 Å, b = 3.9937 Å, c = 3.8428 Å
α = 90.00°, β = 90.00°, γ = 90.00°
Last column: nearest neighbours and their distance in Å.
Fractional coordinates of all 4 atoms:
U 0.0000 0.0000 0.0000  8 Ru 2.77, 4 Fe 2.82
Fe 0.5000 0.5000 0.0000  8 Ru 2.77, 4 U 2.82
Ru 0.0000 0.5000 0.5000  4 Fe 2.77, 4 U 2.77, 4 Ru 2.82
Ru 0.5000 0.0000 0.5000  4 Fe 2.77, 4 U 2.77, 4 Ru 2.82

Computed properties:
formation energy: -0.2182 eV per atom
ρ: 13.4 g/cm³
total magnetic moment: 1.12 μB/cell
SG: No. 123

# UFeRu

A geometry-optimized UFeRu structure (GGA-PBE, Alexandria).

a = 3.6570 Å, b = 3.6570 Å, c = 7.5269 Å
α = 90.00°, β = 90.00°, γ = 90.00°
Last column: nearest neighbours and their distance in Å.
Fractional coordinates of all 6 atoms:
U 0.0000 0.0000 0.0000  1 Fe 2.19, 1 Ru 2.43
U 0.5000 0.5000 0.5000  1 Fe 2.19, 1 Ru 2.43
Fe 0.0000 0.0000 0.2916  1 U 2.19
Fe 0.5000 0.5000 0.7916  1 U 2.19
Ru 0.0000 0.0000 0.6774  1 U 2.43
Ru 0.5000 0.5000 0.1774  1 U 2.43

Computed properties:
formation energy: -0.0079 eV per atom
ρ: 13.0 g/cm³
total magnetic moment: 0.36 μB/cell
SG: No. 107

# UFeRu2

A geometry-optimized UFeRu2 structure (GGA-PBE, Alexandria).

a = 3.3458 Å, b = 3.3458 Å, c = 5.7048 Å
α = 90.00°, β = 90.00°, γ = 90.00°
Last column: nearest neighbours and their distance in Å.
Fractional coordinates of all 4 atoms:
U 0.0000 0.0000 0.0000  8 Ru 2.78, 2 Fe 2.85
Fe 0.0000 0.0000 0.5000  8 Ru 2.75, 2 U 2.85
Ru 0.5000 0.5000 0.2547  4 Fe 2.75, 4 U 2.78, 2 Ru 2.80-2.91
Ru 0.5000 0.5000 0.7453  4 Fe 2.75, 4 U 2.78, 2 Ru 2.80-2.91

Computed properties:
formation energy: -0.0026 eV per atom
ρ: 12.9 g/cm³
total magnetic moment: 2.43 μB/cell
SG: No. 123

# UFeRu

A geometry-optimized UFeRu structure (GGA-PBE, Alexandria).

a = 4.4927 Å, b = 4.6115 Å, c = 4.9723 Å
α = 90.00°, β = 111.19°, γ = 90.00°
Last column: nearest neighbours and their distance in Å.
Fractional coordinates of all 6 atoms:
U 0.1739 0.2500 0.2082  1 Fe 2.16
U 0.8261 0.7500 0.7918  1 Fe 2.16
Fe 0.1605 0.7500 0.5711  1 U 2.16
Fe 0.8395 0.2500 0.4289  1 U 2.16
Ru 0.4191 0.2500 0.8344  1 U 2.48, 3 Fe 2.66-2.70, 2 Ru 2.77
Ru 0.5809 0.7500 0.1656  1 U 2.48, 3 Fe 2.66-2.70, 2 Ru 2.77

Computed properties:
formation energy: -0.1851 eV per atom
ρ: 13.7 g/cm³
total magnetic moment: 0.00 μB/cell
SG: No. 11

# UFeRu

A geometry-optimized UFeRu structure (GGA-PBE, Alexandria).

a = 2.8206 Å, b = 2.8206 Å, c = 6.9416 Å
α = 90.00°, β = 90.00°, γ = 120.00°
Last column: nearest neighbours and their distance in Å.
Fractional coordinates of all 3 atoms:
U 0.0000 0.0000 0.0000  6 U 2.82, 3 Ru 2.95, 3 Fe 2.96
Fe 0.3333 0.6667 0.6439  3 Ru 2.59, 6 Fe 2.82
Ru 0.6667 0.3333 0.3543  3 Fe 2.59, 6 Ru 2.82

Computed properties:
formation energy: 0.2904 eV per atom
ρ: 13.7 g/cm³
total magnetic moment: 2.30 μB/cell
SG: No. 156

Ordered total energy results: -4.95, -4.82, -7.95, -7.14, -7.50, -7.97, -9.86, -9.79, -9.68, -9.58, -9.86, -9.39; unit eV/atom.